Below is a relaxed Ba3Te crystal, with properties calculated at the GGA-PBE level.

a b c (Å): 4.7121 4.7121 12.1213
angles (deg): 90.00 90.00 120.00
Space group P-6m2 (No. 187)
One atom of each set of equivalent atoms:
1 Ba 0.0000 0.0000 0.0000 x1
2 Ba 0.3333 0.6667 0.3169 x2
3 Te 0.0000 0.0000 0.5000 x1

Mass density = 3.84 Mg/m³
E = -2.968 eV per atom
Formation energy without anion corrections = -740 meV per atom
Polymorph energy (0 for the lowest one) = 37 meV/atom
Magnetization = 0.000 μB/f.u.